[1]
The following is a PBE calculation of PrMgTl after structural relaxation, from the Alexandria database.

Geometry as CIF:
```
data_PrMgTl
_cell_length_a 5.0293
_cell_length_b 5.0293
_cell_length_c 3.8282
_cell_angle_alpha 90.00
_cell_angle_beta 90.00
_cell_angle_gamma 120.00
_symmetry_space_group_name_H-M 'P 3 m 1'
_symmetry_Int_Tables_number 156
loop_
_symmetry_equiv_pos_as_xyz
'x,y,z'
'-y,x-y,z'
'-x+y,-x,z'
'-y,-x,z'
'-x+y,y,z'
'x,x-y,z'
loop_
_atom_site_label
_atom_site_type_symbol
_atom_site_fract_x
_atom_site_fract_y
_atom_site_fract_z
_atom_site_occupancy
Pr1 Pr 0.0000 0.0000 0.0000 1
Mg1 Mg 0.3333 0.6667 0.5010 1
Tl1 Tl 0.6667 0.3333 0.4977 1
```



[2]
The following is a PBE calculation of Pr5Mg2Tl after structural relaxation, from the Alexandria database.

Geometry as CIF:
```
data_Pr5Mg2Tl
_cell_length_a 8.139
_cell_length_b 8.139
_cell_length_c 15.807
_cell_angle_alpha 90.00
_cell_angle_beta 90.00
_cell_angle_gamma 90.00
_symmetry_space_group_name_H-M 'I 4/m c m'
_symmetry_Int_Tables_number 140
_symmetry_space_group_name_Hall '-I 4 2c'
loop_
_atom_site_label
_atom_site_type_symbol
_atom_site_fract_x
_atom_site_fract_y
_atom_site_fract_z
_atom_site_occupancy
Pr1 Pr 0.000 0.000 0.000 1
Pr2 Pr 0.163 0.337 0.158 1
Mg1 Mg 0.126 0.374 0.500 1
Tl1 Tl 0.000 0.000 0.250 1
```

Values from the calculation:
Polymorph energy (0 for the lowest one): 57 meV per atom



[3]
The following is a PBE calculation of Pr2MgTl after structural relaxation, from the Alexandria database.

Geometry as CIF:
```
data_Pr2MgTl
_cell_length_a 7.842
_cell_length_b 7.842
_cell_length_c 7.842
_cell_angle_alpha 90.00
_cell_angle_beta 90.00
_cell_angle_gamma 90.00
_symmetry_space_group_name_H-M 'F m -3 m'
_symmetry_Int_Tables_number 225
_symmetry_space_group_name_Hall '-F 4 2 3'
loop_
_atom_site_label
_atom_site_type_symbol
_atom_site_fract_x
_atom_site_fract_y
_atom_site_fract_z
_atom_site_occupancy
Pr1 Pr 0.250 0.250 0.250 1
Mg1 Mg 0.000 0.000 0.000 1
Tl1 Tl 0.000 0.000 0.500 1
```



[4]
The following is a PBE calculation of Pr3Mg2Tl4 after structural relaxation, from the Alexandria database.

Geometry as CIF:
```
data_Pr3Mg2Tl4
_cell_length_a 11.871
_cell_length_b 4.974
_cell_length_c 9.502
_cell_angle_alpha 90.00
_cell_angle_beta 114.24
_cell_angle_gamma 90.00
_symmetry_space_group_name_H-M 'C 1 2/m 1'
_symmetry_Int_Tables_number 12
loop_
_symmetry_equiv_pos_as_xyz
'x,y,z'
'-x,-y,-z'
'-x,y,-z'
'x,-y,z'
'x+1/2,y+1/2,z'
'-x+1/2,-y+1/2,-z'
'-x+1/2,y+1/2,-z'
'x+1/2,-y+1/2,z'
loop_
_atom_site_label
_atom_site_type_symbol
_atom_site_fract_x
_atom_site_fract_y
_atom_site_fract_z
_atom_site_occupancy
Pr1 Pr 0.000 0.000 0.000 1
Pr2 Pr 0.146 0.500 0.682 1
Mg1 Mg 0.156 0.500 0.329 1
Tl1 Tl 0.064 0.000 0.388 1
Tl2 Tl 0.195 0.500 0.048 1
```



[5]
The following is a PBE calculation of PrMg6Tl6 after structural relaxation, from the Alexandria database.

Geometry as CIF:
```
data_PrMg6Tl6
_cell_length_a 6.189
_cell_length_b 9.852
_cell_length_c 10.849
_cell_angle_alpha 90.00
_cell_angle_beta 90.00
_cell_angle_gamma 90.00
_symmetry_space_group_name_H-M 'I m m m'
_symmetry_Int_Tables_number 71
_symmetry_space_group_name_Hall '-I 2 2'
loop_
_atom_site_label
_atom_site_type_symbol
_atom_site_fract_x
_atom_site_fract_y
_atom_site_fract_z
_atom_site_occupancy
Pr1 Pr 0.000 0.000 0.000 1
Mg1 Mg 0.000 0.256 0.500 1
Mg2 Mg 0.250 0.250 0.250 1
Tl1 Tl 0.000 0.000 0.338 1
Tl2 Tl 0.000 0.343 0.000 1
Tl3 Tl 0.000 0.500 0.334 1
```



[6]
The following is a PBE calculation of PrMgTl2 after structural relaxation, from the Alexandria database.

Geometry as CIF:
```
data_PrMgTl2
_cell_length_a 7.600
_cell_length_b 7.600
_cell_length_c 7.600
_cell_angle_alpha 90.00
_cell_angle_beta 90.00
_cell_angle_gamma 90.00
_symmetry_space_group_name_H-M 'F m -3 m'
_symmetry_Int_Tables_number 225
_symmetry_space_group_name_Hall '-F 4 2 3'
loop_
_atom_site_label
_atom_site_type_symbol
_atom_site_fract_x
_atom_site_fract_y
_atom_site_fract_z
_atom_site_occupancy
Pr1 Pr 0.000 0.000 0.000 1
Mg1 Mg 0.000 0.000 0.500 1
Tl1 Tl 0.250 0.250 0.250 1
```

Values from the calculation:
Polymorph energy (0 for the lowest one): 60 meV per atom



[7]
The following is a PBE calculation of PrMgTl after structural relaxation, from the Alexandria database.

Geometry as CIF:
```
data_PrMgTl
_cell_length_a 7.227
_cell_length_b 7.227
_cell_length_c 7.227
_cell_angle_alpha 90.00
_cell_angle_beta 90.00
_cell_angle_gamma 90.00
_symmetry_space_group_name_H-M 'F -4 3 m'
_symmetry_Int_Tables_number 216
_symmetry_space_group_name_Hall 'F -4 2 3'
loop_
_atom_site_label
_atom_site_type_symbol
_atom_site_fract_x
_atom_site_fract_y
_atom_site_fract_z
_atom_site_occupancy
Pr1 Pr 0.000 0.000 0.000 1
Mg1 Mg 0.000 0.000 0.500 1
Tl1 Tl 0.250 0.250 0.750 1
```



[8]
The following is a PBE calculation of Pr4MgTl after structural relaxation, from the Alexandria database.

Geometry as CIF:
```
data_Pr4MgTl
_cell_length_a 9.499
_cell_length_b 5.253
_cell_length_c 9.576
_cell_angle_alpha 90.00
_cell_angle_beta 112.73
_cell_angle_gamma 90.00
_symmetry_space_group_name_H-M 'C 1 2/m 1'
_symmetry_Int_Tables_number 12
loop_
_symmetry_equiv_pos_as_xyz
'x,y,z'
'-x,-y,-z'
'-x,y,-z'
'x,-y,z'
'x+1/2,y+1/2,z'
'-x+1/2,-y+1/2,-z'
'-x+1/2,y+1/2,-z'
'x+1/2,-y+1/2,z'
loop_
_atom_site_label
_atom_site_type_symbol
_atom_site_fract_x
_atom_site_fract_y
_atom_site_fract_z
_atom_site_occupancy
Pr1 Pr 0.120 0.000 0.372 1
Pr2 Pr 0.128 0.500 0.876 1
Mg1 Mg 0.000 0.000 0.000 1
Tl1 Tl 0.000 0.500 0.500 1
```

Values from the calculation:
Polymorph energy (0 for the lowest one): 93 meV per atom



Theoretical density across the listed records, respectively: 7.32; 6.07; 7.03; 8.37; 7.60; 8.69; 6.50; 5.97 g/cm³.
Formation enthalpy at 0 K across the listed records, respectively: -292; -51; -263; -309; -111; -247; -217; 136 meV/atom.